No. 1
Ba2EuDy | GGA-PBE | relaxed

Structure (CIF):
```
data_Ba2EuDy
_symmetry_space_group_name_H-M 'P 4/m m m'
_symmetry_Int_Tables_number 123
_symmetry_space_group_name_Hall '-P 4 2'
_cell_length_a 4.394
_cell_length_b 4.394
_cell_length_c 10.034
_cell_angle_alpha 90.00
_cell_angle_beta 90.00
_cell_angle_gamma 90.00
loop_
_atom_site_label
_atom_site_type_symbol
_atom_site_fract_x
_atom_site_fract_y
_atom_site_fract_z
Ba1 Ba 0.000 0.000 0.226
Eu1 Eu 0.500 0.500 0.500
Dy1 Dy 0.500 0.500 0.000
```

VASP energy, Ha/atom: -0.1646
Density, g cm⁻³: 5.0
E_form, eV per atom: 0.201

No. 2
BaEuDyIn | GGA-PBE | relaxed

Structure (CIF):
```
data_BaEuDyIn
_symmetry_space_group_name_H-M 'F -4 3 m'
_symmetry_Int_Tables_number 216
_symmetry_space_group_name_Hall 'F -4 2 3'
_cell_length_a 8.262
_cell_length_b 8.262
_cell_length_c 8.262
_cell_angle_alpha 90.00
_cell_angle_beta 90.00
_cell_angle_gamma 90.00
loop_
_atom_site_label
_atom_site_type_symbol
_atom_site_fract_x
_atom_site_fract_y
_atom_site_fract_z
Ba1 Ba 0.000 0.000 0.000
Eu1 Eu 0.250 0.250 0.250
Dy1 Dy 0.000 0.000 0.500
In1 In 0.250 0.250 0.750
```

VASP energy, Ha/atom: -0.1812
Density, g cm⁻³: 6.7
E_form, eV per atom: -0.045

No. 3
BaEuDySnO6 | GGA-PBE | relaxed

Structure (CIF):
```
data_BaEuDySnO6
_symmetry_space_group_name_H-M 'F -4 3 m'
_symmetry_Int_Tables_number 216
_symmetry_space_group_name_Hall 'F -4 2 3'
_cell_length_a 8.531
_cell_length_b 8.531
_cell_length_c 8.531
_cell_angle_alpha 90.00
_cell_angle_beta 90.00
_cell_angle_gamma 90.00
loop_
_atom_site_label
_atom_site_type_symbol
_atom_site_fract_x
_atom_site_fract_y
_atom_site_fract_z
Ba1 Ba 0.000 0.000 0.000
Eu1 Eu 0.000 0.000 0.500
Dy1 Dy 0.250 0.250 0.750
Sn1 Sn 0.250 0.250 0.250
O1 O 0.008 0.250 0.250
```

VASP energy, Ha/atom: -0.2779
Density, g cm⁻³: 7.1
ΔE_f (raw), eV/atom: -2.5062